# NaCo2O4

NaCo2O4 after structural relaxation (GGA+U, the Alexandria database).

a = 4.299 Å, b = 4.299 Å, c = 5.681 Å
α = 90.00°, β = 90.00°, γ = 90.00°
Space group P-42m (No. 111)
One atom of each set of equivalent atoms:
Na1 0.000 0.000 0.000 (multiplicity 1)
Co1 0.000 0.500 0.500 (multiplicity 2)
O1 0.242 0.242 0.319 (multiplicity 4)

## Properties
**Calculated total energy**: -5.34 eV/atom
**M_tot**: 6.99 μB/f.u.
**Energy relative to the lowest polymorph listed for this composition**: 177 kJ/mol of formula units